Compound: K3Cr2CoF9
Source: Alexandria
Functional: PBE with a Hubbard U
Structure: optimized geometry

The space group is P-3m1 (No. 164) and the conventional cell measures 5.8955, 5.8955 and 7.2436 Å, with angles of 90.00, 90.00 and 120.00 degrees. Symmetry generates all atoms from K at (0.0000, 0.0000, 0.0000), K at (0.3333, 0.6667, 0.6522), Cr at (0.3333, 0.6667, 0.1646), Co at (0.0000, 0.0000, 0.5000), F at (0.0000, 0.5000, 0.0000) and F at (0.1691, 0.3382, 0.3266).

Its total magnetization is 0.66 μB/atom. The final energy comes out at -5.207 eV/atom.